Run A
## GaSi2B2 (PBE-GGA)

Data for GaSi2B2 after structural relaxation.

a = 3.796 Å, b = 3.796 Å, c = 8.198 Å
α = 90.00°, β = 90.00°, γ = 90.00°
Space group I4/mmm (No. 139)
Asymmetric unit:
Ga 0.000 0.000 0.000 [2 per cell]
Si 0.000 0.500 0.250 [4 per cell]
B 0.000 0.000 0.390 [4 per cell]

Summary:
total moment = 0.00 μB/cell

***

Run B
## GaSi2B2 (PBE-GGA)

Data for GaSi2B2 after structural relaxation.

a = 6.566 Å, b = 6.566 Å, c = 2.630 Å
α = 90.00°, β = 90.00°, γ = 90.00°
Space group P4/mbm (No. 127)
Asymmetric unit:
Ga 0.000 0.000 0.000 [2 per cell]
Si 0.139 0.361 0.500 [4 per cell]
B 0.148 0.648 0.000 [4 per cell]

Summary:
total moment = 0.00 μB/cell

***

Winner for stability: run A

***

Run A
## SrGa2B2 (PBE-GGA)

Data for SrGa2B2 after structural relaxation.

a = 4.013 Å, b = 4.013 Å, c = 9.111 Å
α = 90.00°, β = 90.00°, γ = 90.00°
Space group I4/mmm (No. 139)
Asymmetric unit:
Sr 0.000 0.000 0.000 [2 per cell]
Ga 0.000 0.500 0.250 [4 per cell]
B 0.000 0.000 0.400 [4 per cell]

Summary:
total moment = 0.00 μB/cell

***

Run B
## SrGa2B2 (PBE-GGA)

Data for SrGa2B2 after structural relaxation.

a = 6.952 Å, b = 6.952 Å, c = 3.787 Å
α = 90.00°, β = 90.00°, γ = 90.00°
Space group P4/mbm (No. 127)
Asymmetric unit:
Sr 0.000 0.000 0.000 [2 per cell]
Ga 0.147 0.353 0.500 [4 per cell]
B 0.081 0.581 0.000 [4 per cell]

Summary:
total moment = 0.00 μB/cell

***

Winner for stability: run A

***

Run A
## TaGaB3 (PBE-GGA)

Data for TaGaB3 after structural relaxation.

a = 3.949 Å, b = 3.949 Å, c = 3.949 Å
α = 90.00°, β = 90.00°, γ = 90.00°
Space group Pm-3m (No. 221)
Asymmetric unit:
Ta 0.000 0.000 0.000 [1 per cell]
Ga 0.500 0.500 0.500 [1 per cell]
B 0.000 0.500 0.500 [3 per cell]

Summary:
total moment = 0.00 μB/cell

***

Run B
## TaGaB3 (PBE-GGA)

Data for TaGaB3 after structural relaxation.

a = 4.349 Å, b = 4.349 Å, c = 4.349 Å
α = 90.00°, β = 90.00°, γ = 90.00°
Space group Pm-3m (No. 221)
Asymmetric unit:
Ta 0.000 0.000 0.000 [1 per cell]
Ga 0.500 0.500 0.500 [1 per cell]
B 0.000 0.000 0.500 [3 per cell]

Summary:
total moment = 0.00 μB/cell

***

Winner for stability: run B

***

Run A
## Ga3TcB (PBE-GGA)

Data for Ga3TcB after structural relaxation.

a = 4.252 Å, b = 4.252 Å, c = 4.252 Å
α = 90.00°, β = 90.00°, γ = 90.00°
Space group Pm-3m (No. 221)
Asymmetric unit:
Ga 0.000 0.000 0.500 [3 per cell]
Tc 0.500 0.500 0.500 [1 per cell]
B 0.000 0.000 0.000 [1 per cell]

Summary:
total moment = 1.61 μB/cell

***

Run B
## Ga3TcB (PBE-GGA)

Data for Ga3TcB after structural relaxation.

a = 4.800 Å, b = 4.800 Å, c = 4.800 Å
α = 90.00°, β = 90.00°, γ = 90.00°
Space group Pm-3m (No. 221)
Asymmetric unit:
Ga 0.000 0.000 0.500 [3 per cell]
Tc 0.000 0.000 0.000 [1 per cell]
B 0.500 0.500 0.500 [1 per cell]

Summary:
total moment = 0.00 μB/cell

***

Winner for stability: run A

***

Run A
## GaTcB3 (PBE-GGA)

Data for GaTcB3 after structural relaxation.

a = 4.157 Å, b = 4.157 Å, c = 4.157 Å
α = 90.00°, β = 90.00°, γ = 90.00°
Space group Pm-3m (No. 221)
Asymmetric unit:
Ga 0.000 0.000 0.000 [1 per cell]
Tc 0.500 0.500 0.500 [1 per cell]
B 0.000 0.500 0.500 [3 per cell]

Summary:
total moment = 0.00 μB/cell

***

Run B
## GaTcB3 (PBE-GGA)

Data for GaTcB3 after structural relaxation.

a = 3.930 Å, b = 3.930 Å, c = 3.930 Å
α = 90.00°, β = 90.00°, γ = 90.00°
Space group Pm-3m (No. 221)
Asymmetric unit:
Ga 0.000 0.000 0.000 [1 per cell]
Tc 0.500 0.500 0.500 [1 per cell]
B 0.000 0.000 0.500 [3 per cell]

Summary:
total moment = 0.00 μB/cell

***

Winner for stability: run A

***

Run A
## GaB2Te (PBE-GGA)

Data for GaB2Te after structural relaxation.

a = 6.151 Å, b = 6.151 Å, c = 6.151 Å
α = 90.00°, β = 90.00°, γ = 90.00°
Space group Fm-3m (No. 225)
Asymmetric unit:
Ga 0.000 0.000 0.000 [4 per cell]
B 0.250 0.250 0.250 [8 per cell]
Te 0.000 0.000 0.500 [4 per cell]

Summary:
total moment = 0.00 μB/cell

***

Run B
## GaB2Te (PBE-GGA)

Data for GaB2Te after structural relaxation.

a = 5.125 Å, b = 5.125 Å, c = 10.127 Å
α = 90.00°, β = 90.00°, γ = 90.00°
Space group I-42d (No. 122)
Asymmetric unit:
Ga 0.000 0.000 0.000 [4 per cell]
B 0.231 0.250 0.125 [8 per cell]
Te 0.000 0.000 0.500 [4 per cell]

Summary:
total moment = 0.00 μB/cell

***

Winner for stability: run B

***

Run A
## Ga3BTe (PBE-GGA)

Data for Ga3BTe after structural relaxation.

a = 5.623 Å, b = 5.623 Å, c = 5.623 Å
α = 90.00°, β = 90.00°, γ = 90.00°
Space group Pm-3m (No. 221)
Asymmetric unit:
Ga 0.000 0.000 0.500 [3 per cell]
B 0.500 0.500 0.500 [1 per cell]
Te 0.000 0.000 0.000 [1 per cell]

Summary:
total moment = 0.00 μB/cell

***

Run B
## Ga3BTe (PBE-GGA)

Data for Ga3BTe after structural relaxation.

a = 4.557 Å, b = 4.557 Å, c = 4.557 Å
α = 90.00°, β = 90.00°, γ = 90.00°
Space group Pm-3m (No. 221)
Asymmetric unit:
Ga 0.000 0.000 0.500 [3 per cell]
B 0.000 0.000 0.000 [1 per cell]
Te 0.500 0.500 0.500 [1 per cell]

Summary:
total moment = 0.00 μB/cell

***

Winner for stability: run B

***

Run A
## TiGaB3 (PBE-GGA)

Data for TiGaB3 after structural relaxation.

a = 4.196 Å, b = 4.196 Å, c = 4.196 Å
α = 90.00°, β = 90.00°, γ = 90.00°
Space group Pm-3m (No. 221)
Asymmetric unit:
Ti 0.000 0.000 0.000 [1 per cell]
Ga 0.500 0.500 0.500 [1 per cell]
B 0.000 0.000 0.500 [3 per cell]

Summary:
total moment = 0.00 μB/cell

***

Run B
## TiGaB3 (PBE-GGA)

Data for TiGaB3 after structural relaxation.

a = 3.988 Å, b = 3.988 Å, c = 3.988 Å
α = 90.00°, β = 90.00°, γ = 90.00°
Space group Pm-3m (No. 221)
Asymmetric unit:
Ti 0.000 0.000 0.000 [1 per cell]
Ga 0.500 0.500 0.500 [1 per cell]
B 0.000 0.500 0.500 [3 per cell]

Summary:
total moment = 0.00 μB/cell

***

Winner for stability: run A

***

Run A
## Ti2GaB (PBE-GGA)

Data for Ti2GaB after structural relaxation.

a = 3.1646 Å, b = 3.1646 Å, c = 20.4876 Å
α = 90.00°, β = 90.00°, γ = 120.00°
Space group R-3m (No. 166, hexagonal axes)
Asymmetric unit:
Ti 0.0000 0.0000 0.2261 [6 per cell]
Ga 0.0000 0.0000 0.0000 [3 per cell]
B 0.0000 0.0000 0.5000 [3 per cell]

Summary:
total moment = 0.00 μB/cell

***

Run B
## Ti2GaB (PBE-GGA)

Data for Ti2GaB after structural relaxation.

a = 6.546 Å, b = 6.546 Å, c = 5.363 Å
α = 90.00°, β = 90.00°, γ = 90.00°
Space group I-42d (No. 122)
Asymmetric unit:
Ti 0.210 0.250 0.125 [8 per cell]
Ga 0.000 0.000 0.500 [4 per cell]
B 0.000 0.000 0.000 [4 per cell]

Summary:
total moment = 0.00 μB/cell

***

Run C
## Ti2GaB (PBE-GGA)

Data for Ti2GaB after structural relaxation.

a = 5.993 Å, b = 5.993 Å, c = 5.993 Å
α = 90.00°, β = 90.00°, γ = 90.00°
Space group Fm-3m (No. 225)
Asymmetric unit:
Ti 0.250 0.250 0.250 [8 per cell]
Ga 0.000 0.000 0.000 [4 per cell]
B 0.000 0.000 0.500 [4 per cell]

Summary:
total moment = 3.09 μB/cell

***

Winner for stability: run A

***

Run A
## TlGaB3 (PBE-GGA)

Data for TlGaB3 after structural relaxation.

a = 4.616 Å, b = 4.616 Å, c = 4.616 Å
α = 90.00°, β = 90.00°, γ = 90.00°
Space group Pm-3m (No. 221)
Asymmetric unit:
Tl 0.000 0.000 0.000 [1 per cell]
Ga 0.500 0.500 0.500 [1 per cell]
B 0.000 0.000 0.500 [3 per cell]

Summary:
total moment = 0.00 μB/cell

***

Run B
## TlGaB3 (PBE-GGA)

Data for TlGaB3 after structural relaxation.

a = 4.303 Å, b = 4.303 Å, c = 4.303 Å
α = 90.00°, β = 90.00°, γ = 90.00°
Space group Pm-3m (No. 221)
Asymmetric unit:
Tl 0.000 0.000 0.000 [1 per cell]
Ga 0.500 0.500 0.500 [1 per cell]
B 0.000 0.500 0.500 [3 per cell]

Summary:
total moment = 0.00 μB/cell

***

Winner for stability: run B

***

Run A
## TlGa2B (PBE-GGA)

Data for TlGa2B after structural relaxation.

a = 6.761 Å, b = 6.761 Å, c = 6.761 Å
α = 90.00°, β = 90.00°, γ = 90.00°
Space group Fm-3m (No. 225)
Asymmetric unit:
Tl 0.000 0.000 0.000 [4 per cell]
Ga 0.250 0.250 0.250 [8 per cell]
B 0.000 0.000 0.500 [4 per cell]

Summary:
total moment = 0.00 μB/cell

***

Run B
## TlGa2B (PBE-GGA)

Data for TlGa2B after structural relaxation.

a = 6.160 Å, b = 6.160 Å, c = 9.172 Å
α = 90.00°, β = 90.00°, γ = 90.00°
Space group I-42d (No. 122)
Asymmetric unit:
Tl 0.000 0.000 0.000 [4 per cell]
Ga 0.114 0.250 0.625 [8 per cell]
B 0.000 0.000 0.500 [4 per cell]

Summary:
total moment = 0.00 μB/cell

***

Winner for stability: run B

***

Run A
## TlGa3B (PBE-GGA)

Data for TlGa3B after structural relaxation.

a = 4.562 Å, b = 4.562 Å, c = 4.562 Å
α = 90.00°, β = 90.00°, γ = 90.00°
Space group Pm-3m (No. 221)
Asymmetric unit:
Tl 0.000 0.000 0.000 [1 per cell]
Ga 0.000 0.500 0.500 [3 per cell]
B 0.500 0.500 0.500 [1 per cell]

Summary:
total moment = 0.00 μB/cell

***

Run B
## TlGa3B (PBE-GGA)

Data for TlGa3B after structural relaxation.

a = 5.377 Å, b = 5.377 Å, c = 5.377 Å
α = 90.00°, β = 90.00°, γ = 90.00°
Space group Pm-3m (No. 221)
Asymmetric unit:
Tl 0.000 0.000 0.000 [1 per cell]
Ga 0.000 0.000 0.500 [3 per cell]
B 0.500 0.500 0.500 [1 per cell]

Summary:
total moment = 0.00 μB/cell

***

Winner for stability: run A

***

Run A
## GaBW2 (PBE-GGA)

Data for GaBW2 after structural relaxation.

a = 5.961 Å, b = 5.961 Å, c = 5.961 Å
α = 90.00°, β = 90.00°, γ = 90.00°
Space group Fm-3m (No. 225)
Asymmetric unit:
Ga 0.000 0.000 0.000 [4 per cell]
B 0.000 0.000 0.500 [4 per cell]
W 0.250 0.250 0.250 [8 per cell]

Summary:
total moment = 0.00 μB/cell

***

Run B
## GaBW2 (PBE-GGA)

Data for GaBW2 after structural relaxation.

a = 3.0638 Å, b = 3.0638 Å, c = 22.9383 Å
α = 90.00°, β = 90.00°, γ = 120.00°
Space group R-3m (No. 166, hexagonal axes)
Asymmetric unit:
Ga 0.0000 0.0000 0.0000 [3 per cell]
B 0.0000 0.0000 0.5000 [3 per cell]
W 0.0000 0.0000 0.1130 [6 per cell]

Summary:
total moment = 0.00 μB/cell

***

Winner for stability: run B